A relaxed structure of TmAlO. Source: Alexandria via LeMat-Bulk, functional PBE-GGA.

a = 3.1351 Å, b = 3.1351 Å, c = 9.9204 Å
α = 90.00°, β = 90.00°, γ = 90.00°
Positions (direct):
Tm1 0.2500 0.2500 0.1459
Tm2 0.7500 0.7500 0.8541
Al1 0.2500 0.2500 0.5923
Al2 0.7500 0.7500 0.4077
O1 0.2500 0.2500 0.9130
O2 0.7500 0.7500 0.0870

Properties
formation energy without anion corrections	-1.931	eV/atom
magnetization	0.0	Bohr magnetons per cell
V	16.3	Å³ per atom
D(E_F)	0.250	states/eV/atom
theoretical density	7.22	g cm⁻³


A relaxed structure of TmAlO3. Source: Alexandria via LeMat-Bulk, functional PBE-GGA.

a = 5.3760 Å, b = 7.3736 Å, c = 5.1493 Å
α = 90.00°, β = 90.00°, γ = 90.00°
Positions (direct):
Tm1 0.0627 0.2500 0.0157
Tm2 0.4373 0.7500 0.5157
Tm3 0.5627 0.2500 0.4843
Tm4 0.9373 0.7500 0.9843
Al1 0.0000 0.0000 0.5000
Al2 0.0000 0.5000 0.5000
Al3 0.5000 0.0000 0.0000
Al4 0.5000 0.5000 0.0000
O1 0.0291 0.7500 0.4033
O2 0.2009 0.5503 0.7998
O3 0.2009 0.9497 0.7998
O4 0.2991 0.0503 0.2998
O5 0.2991 0.4497 0.2998
O6 0.4709 0.2500 0.9033
O7 0.5291 0.7500 0.0967
O8 0.7009 0.5503 0.7002
O9 0.7009 0.9497 0.7002
O10 0.7991 0.0503 0.2002
O11 0.7991 0.4497 0.2002
O12 0.9709 0.2500 0.5967

Properties
formation energy without anion corrections	-3.360	eV/atom
magnetization	0.0	Bohr magnetons per cell
V	10.2	Å³ per atom
D(E_F)	0.000	states/eV/atom
theoretical density	7.94	g cm⁻³


A relaxed structure of TmAlO3. Source: Alexandria via LeMat-Bulk, functional PBE-GGA.

a = 3.4233 Å, b = 3.4233 Å, c = 11.4666 Å
α = 90.00°, β = 90.00°, γ = 120.00°
Positions (direct):
Tm1 0.0000 0.0000 0.0000
Tm2 0.0000 0.0000 0.5000
Al1 0.3333 0.6667 0.2500
Al2 0.6667 0.3333 0.7500
O1 0.0000 0.0000 0.2500
O2 0.0000 0.0000 0.7500
O3 0.3333 0.6667 0.0905
O4 0.3333 0.6667 0.4095
O5 0.6667 0.3333 0.5905
O6 0.6667 0.3333 0.9095

Properties
formation energy without anion corrections	-3.303	eV/atom
magnetization	0.0	Bohr magnetons per cell
V	11.6	Å³ per atom
D(E_F)	0.000	states/eV/atom
theoretical density	6.96	g cm⁻³


A relaxed structure of TmAlO3. Source: Alexandria via LeMat-Bulk, functional PBE-GGA.

a = 3.4015 Å, b = 5.7873 Å, c = 5.6144 Å
α = 90.00°, β = 90.00°, γ = 90.00°
Positions (direct):
Tm1 0.0000 0.1495 0.0000
Tm2 0.0000 0.8505 0.5000
Al1 0.5000 0.3197 0.4509
Al2 0.5000 0.6803 0.9509
O1 0.0000 0.2317 0.3910
O2 0.0000 0.7683 0.8910
O3 0.5000 0.0933 0.7043
O4 0.5000 0.4043 0.0947
O5 0.5000 0.5957 0.5947
O6 0.5000 0.9067 0.2043

Properties
formation energy without anion corrections	-3.293	eV/atom
magnetization	0.0	Bohr magnetons per cell
V	11.1	Å³ per atom
D(E_F)	0.000	states/eV/atom
theoretical density	7.33	g cm⁻³


A relaxed structure of Tm4Al2O9. Source: Alexandria via LeMat-Bulk, functional PBE-GGA.

a = 7.2726 Å, b = 10.3833 Å, c = 11.1302 Å
α = 90.00°, β = 108.11°, γ = 90.00°
Positions (direct):
Tm1 0.0214 0.1002 0.3035
Tm2 0.0214 0.3998 0.8035
Tm3 0.1605 0.6216 0.5821
Tm4 0.1605 0.8784 0.0821
Tm5 0.3423 0.1270 0.9404
Tm6 0.3423 0.3730 0.4404
Tm7 0.4786 0.6131 0.2165
Tm8 0.4786 0.8869 0.7165
Tm9 0.5214 0.1131 0.2835
Tm10 0.5214 0.3869 0.7835
Tm11 0.6577 0.6270 0.5596
Tm12 0.6577 0.8730 0.0596
Tm13 0.8395 0.1216 0.9179
Tm14 0.8395 0.3784 0.4179
Tm15 0.9786 0.6002 0.1965
Tm16 0.9786 0.8998 0.6965
Al1 0.2151 0.1747 0.6274
Al2 0.2151 0.3253 0.1274
Al3 0.3452 0.6720 0.8885
Al4 0.3452 0.8280 0.3885
Al5 0.6548 0.1720 0.6115
Al6 0.6548 0.3280 0.1115
Al7 0.7849 0.6747 0.8726
Al8 0.7849 0.8253 0.3726
O1 0.0699 0.2325 0.4805
O2 0.0699 0.2675 0.9805
O3 0.0778 0.5071 0.3932
O4 0.0778 0.9929 0.8932
O5 0.2061 0.7447 0.2526
O6 0.2061 0.7553 0.7526
O7 0.2122 0.0094 0.6528
O8 0.2122 0.4906 0.1528
O9 0.2307 0.2442 0.2706
O10 0.2307 0.2558 0.7706
O11 0.3079 0.5090 0.8457
O12 0.3079 0.9910 0.3457
O13 0.3638 0.7315 0.0404
O14 0.3638 0.7685 0.5404
O15 0.4331 0.2403 0.6154
O16 0.4331 0.2597 0.1154
O17 0.4359 0.5077 0.6088
O18 0.4359 0.9923 0.1088
O19 0.5641 0.0077 0.8912
O20 0.5641 0.4923 0.3912
O21 0.5669 0.7403 0.8846
O22 0.5669 0.7597 0.3846
O23 0.6362 0.2315 0.4596
O24 0.6362 0.2685 0.9596
O25 0.6921 0.0090 0.6543
O26 0.6921 0.4910 0.1543
O27 0.7693 0.7442 0.2294
O28 0.7693 0.7558 0.7294
O29 0.7878 0.5094 0.8472
O30 0.7878 0.9906 0.3472
O31 0.7939 0.2447 0.2474
O32 0.7939 0.2553 0.7474
O33 0.9222 0.0071 0.1068
O34 0.9222 0.4929 0.6068
O35 0.9301 0.7325 0.0195
O36 0.9301 0.7675 0.5195

Properties
formation energy without anion corrections	-3.452	eV/atom
magnetization	0.0	Bohr magnetons per cell
V	13.3	Å³ per atom
D(E_F)	0.000	states/eV/atom
theoretical density	7.26	g cm⁻³


A relaxed structure of TmAl2O4. Source: Alexandria via LeMat-Bulk, functional PBE-GGA.

a = 4.2610 Å, b = 4.2610 Å, c = 5.4285 Å
α = 90.00°, β = 90.00°, γ = 90.00°
Positions (direct):
Tm1 0.0000 0.0000 0.0000
Al1 0.0000 0.5000 0.5000
Al2 0.5000 0.0000 0.5000
O1 0.2385 0.2385 0.3173
O2 0.2385 0.7615 0.6827
O3 0.7615 0.2385 0.6827
O4 0.7615 0.7615 0.3173

Properties
formation energy without anion corrections	-2.755	eV/atom
magnetization	0.0	Bohr magnetons per cell
V	14.1	Å³ per atom
E above lowest polymorph	61	meV per atom
D(E_F)	0.229	states/eV/atom
theoretical density	4.83	g cm⁻³